# PrGaPb (GGA-PBE, relaxed)
data_PrGaPb
_chemical_formula_sum 'Pr1 Ga1 Pb1'
_space_group_name_H-M_alt 'P 3 m 1'
_space_group_IT_number 156
_space_group_name_Hall 'P 3 -2"'
_cell_length_a 4.5768
_cell_length_b 4.5768
_cell_length_c 4.5920
_cell_angle_alpha 90.00
_cell_angle_beta 90.00
_cell_angle_gamma 120.00
loop_
_atom_site_label
_atom_site_type_symbol
_atom_site_fract_x
_atom_site_fract_y
_atom_site_fract_z
Pr1 Pr 0.0000 0.0000 0.0000
Ga1 Ga 0.6667 0.3333 0.6686
Pb1 Pb 0.3333 0.6667 0.4361
# - Energy: -4.33 eV per atom
# - DOS(E_F): 0.15 states/eV/atom



# Pr5Ga2Pb (GGA-PBE, relaxed)
data_Pr5Ga2Pb
_chemical_formula_sum 'Pr20 Ga8 Pb4'
_space_group_name_H-M_alt 'I 4/m c m'
_space_group_IT_number 140
_space_group_name_Hall '-I 4 2c'
_cell_length_a 8.155
_cell_length_b 8.155
_cell_length_c 14.651
_cell_angle_alpha 90.00
_cell_angle_beta 90.00
_cell_angle_gamma 90.00
loop_
_atom_site_label
_atom_site_type_symbol
_atom_site_fract_x
_atom_site_fract_y
_atom_site_fract_z
Pr1 Pr 0.000 0.000 0.000
Pr2 Pr 0.168 0.332 0.145
Ga1 Ga 0.122 0.378 0.500
Pb1 Pb 0.000 0.000 0.250
# - Energy: -4.69 eV per atom
# - DOS(E_F): 1.17 states/eV/atom



# Pr12Ga6Pb (GGA-PBE, relaxed)
data_Pr12Ga6Pb
_chemical_formula_sum 'Pr24 Ga12 Pb2'
_space_group_name_H-M_alt 'I m -3'
_space_group_IT_number 204
_space_group_name_Hall '-I 2 2 3'
_cell_length_a 10.544
_cell_length_b 10.544
_cell_length_c 10.544
_cell_angle_alpha 90.00
_cell_angle_beta 90.00
_cell_angle_gamma 90.00
loop_
_atom_site_label
_atom_site_type_symbol
_atom_site_fract_x
_atom_site_fract_y
_atom_site_fract_z
Pr1 Pr 0.000 0.296 0.189
Ga1 Ga 0.000 0.120 0.500
Pb1 Pb 0.000 0.000 0.000
# - Energy: -4.55 eV per atom
# - DOS(E_F): 0.98 states/eV/atom



# Pr3GaPb2 (GGA-PBE, relaxed)
data_Pr3GaPb2
_chemical_formula_sum 'Pr12 Ga4 Pb8'
_space_group_name_H-M_alt 'P n m a'
_space_group_IT_number 62
_space_group_name_Hall '-P 2ac 2n'
_cell_length_a 12.922
_cell_length_b 4.601
_cell_length_c 12.477
_cell_angle_alpha 90.00
_cell_angle_beta 90.00
_cell_angle_gamma 90.00
loop_
_atom_site_label
_atom_site_type_symbol
_atom_site_fract_x
_atom_site_fract_y
_atom_site_fract_z
Pr1 Pr 0.053 0.250 0.122
Pr2 Pr 0.122 0.750 0.555
Pr3 Pr 0.222 0.250 0.796
Ga1 Ga 0.132 0.250 0.365
Pb1 Pb 0.005 0.750 0.308
Pb2 Pb 0.188 0.750 0.005
# - Energy: -4.67 eV per atom
# - DOS(E_F): 0.72 states/eV/atom



# Pr2Ga3Pt4Pb (GGA-PBE, relaxed)
data_Pr2Ga3Pt4Pb
_chemical_formula_sum 'Pr2 Ga3 Pt4 Pb1'
_space_group_name_H-M_alt 'P -4 m 2'
_space_group_IT_number 115
_space_group_name_Hall 'P -4 -2'
_cell_length_a 4.370
_cell_length_b 4.370
_cell_length_c 10.886
_cell_angle_alpha 90.00
_cell_angle_beta 90.00
_cell_angle_gamma 90.00
loop_
_atom_site_label
_atom_site_type_symbol
_atom_site_fract_x
_atom_site_fract_y
_atom_site_fract_z
Pr1 Pr 0.000 0.500 0.240
Ga1 Ga 0.000 0.500 0.879
Ga2 Ga 0.500 0.500 0.500
Pt1 Pt 0.000 0.000 0.000
Pt2 Pt 0.000 0.500 0.654
Pt3 Pt 0.500 0.500 0.000
Pb1 Pb 0.000 0.000 0.500
# - Energy: -5.49 eV per atom
# - DOS(E_F): 0.73 states/eV/atom



# Pr2Ga2Rh5Pb (GGA-PBE, relaxed)
data_Pr2Ga2Rh5Pb
_chemical_formula_sum 'Pr4 Ga4 Rh10 Pb2'
_space_group_name_H-M_alt 'P 4/m b m'
_space_group_IT_number 127
_space_group_name_Hall '-P 4 2ab'
_cell_length_a 10.042
_cell_length_b 10.042
_cell_length_c 3.683
_cell_angle_alpha 90.00
_cell_angle_beta 90.00
_cell_angle_gamma 90.00
loop_
_atom_site_label
_atom_site_type_symbol
_atom_site_fract_x
_atom_site_fract_y
_atom_site_fract_z
Pr1 Pr 0.177 0.323 0.000
Ga1 Ga 0.120 0.620 0.000
Rh1 Rh 0.000 0.500 0.500
Rh2 Rh 0.069 0.786 0.500
Pb1 Pb 0.000 0.000 0.000
# - Energy: -6.27 eV per atom
# - DOS(E_F): 0.26 states/eV/atom